1.
NpSc2CdO8: optimized geometry, PBE.

Output
Uncorrected energy   -7.99 eV per atom
Space-group type   P-1
Raw formation energy   -2.47 eV per atom
Calculated volume   13.50 A^3/atom
Magnetic moment   0.000 μB per cell

Unit cell a=4.922 b=4.925 c=6.691 alpha=88.15 beta=88.13 gamma=88.13
Fractional positions:
Np: 0.000 0.000 0.000
Sc: 0.490 0.490 0.261
Sc: 0.510 0.510 0.739
Cd: 0.000 0.000 0.500
O: 0.195 0.193 0.227
O: 0.203 0.201 0.793
O: 0.296 0.702 0.000
O: 0.316 0.683 0.500
O: 0.684 0.317 0.500
O: 0.704 0.298 0.000
O: 0.797 0.799 0.207
O: 0.805 0.807 0.773

=====

2.
NpCdSi2O8: optimized geometry, PBE.

Output
Uncorrected energy   -7.67 eV per atom
Space-group type   I-4m2
Raw formation energy   -2.30 eV per atom
Calculated volume   12.24 A^3/atom
Magnetic moment   1.000 μB per cell

Unit cell a=5.771 b=5.771 c=5.771 alpha=106.69 beta=106.69 gamma=115.20
Fractional positions:
Np: 0.000 0.000 0.000
Cd: 0.250 0.750 0.500
Si: 0.500 0.500 0.000
Si: 0.750 0.250 0.500
O: 0.320 0.144 0.825
O: 0.320 0.495 0.175
O: 0.398 0.090 0.308
O: 0.505 0.680 0.825
O: 0.782 0.090 0.692
O: 0.856 0.680 0.175
O: 0.910 0.218 0.308
O: 0.910 0.602 0.692

=====

Repeat the first record exactly.
NpSc2CdO8: optimized geometry, PBE.

Output
Uncorrected energy   -7.99 eV per atom
Space-group type   P-1
Raw formation energy   -2.47 eV per atom
Calculated volume   13.50 A^3/atom
Magnetic moment   0.000 μB per cell

Unit cell a=4.922 b=4.925 c=6.691 alpha=88.15 beta=88.13 gamma=88.13
Fractional positions:
Np: 0.000 0.000 0.000
Sc: 0.490 0.490 0.261
Sc: 0.510 0.510 0.739
Cd: 0.000 0.000 0.500
O: 0.195 0.193 0.227
O: 0.203 0.201 0.793
O: 0.296 0.702 0.000
O: 0.316 0.683 0.500
O: 0.684 0.317 0.500
O: 0.704 0.298 0.000
O: 0.797 0.799 0.207
O: 0.805 0.807 0.773

=====

Which of these has the highest calculated volume?
NpSc2CdO8

=====

Among the records above, which one has the lowest magnetic moment?
NpSc2CdO8